PrCdGa | Alexandria via LeMat-Bulk | GGA-PBE | relaxed; magnetic moment = 0.00 μB per formula unit; total energy = -3.43 eV/atom; calculated formation energy = -0.52 eV per atom
1.0
7.477 0.000 0.000
-3.738 6.475 0.000
0.000 0.000 4.540
Ga Pr Cd
3 3 3
Direct
0.000 0.000 0.500
0.667 0.333 0.000
0.333 0.667 0.000
0.580 0.000 0.500
0.000 0.580 0.500
0.420 0.420 0.500
0.247 0.000 0.000
0.753 0.753 0.000
0.000 0.247 0.000